DFT (GGA-PBE) results for a geometry-optimized YZr2Os structure.

Cell and atoms, written as POSCAR:
```
YZr2Os
1.0
1.6516 0.9535 9.5586
-1.6516 0.9535 9.5586
0.0000 -1.9071 9.5586
Y Zr Os
1 2 1
Direct
0.0000 0.0000 0.0000
0.2333 0.2333 0.2333
0.4763 0.4763 0.4763
0.7429 0.7429 0.7429
```

Computed properties:
The calculation puts the polymorph energy (0 for the lowest one) at 342.8 meV/atom. The space group is R3m (160).

DFT (GGA-PBE) results for a geometry-optimized SrInFe2 structure.

Cell and atoms, written as POSCAR:
```
SrInFe2
1.0
3.9005 -2.2555 0.0000
3.9005 2.2555 0.0000
-2.6281 0.0000 5.3276
Sr In Fe
1 1 2
Direct
0.0000 0.0000 0.0000
0.5000 0.5000 0.5000
0.1874 0.1874 0.5627
0.8126 0.8126 0.4373
```

Computed properties:
The space group is C2/m (12).

Which calculated formation energy belongs to each record? In order, 0.5, 1.0 eV/f.u..
Which calculated total energy belongs to each record? In order, -8.57, -5.08 eV per atom.